# Tl2CoPO4 (GGA+U, optimized geometry)
data_Tl2CoPO4
_symmetry_space_group_name_H-M 'P 1'
_symmetry_Int_Tables_number 1
_symmetry_space_group_name_Hall 'P 1'
_cell_length_a 11.305
_cell_length_b 10.131
_cell_length_c 6.243
_cell_angle_alpha 83.73
_cell_angle_beta 62.97
_cell_angle_gamma 33.29
loop_
_atom_site_label
_atom_site_type_symbol
_atom_site_fract_x
_atom_site_fract_y
_atom_site_fract_z
Tl1 Tl 0.041 0.041 0.709
Tl2 Tl 0.291 0.291 0.959
Tl3 Tl 0.709 0.709 0.041
Tl4 Tl 0.959 0.959 0.291
Co1 Co 0.125 0.125 0.125
Co2 Co 0.875 0.875 0.875
P1 P 0.375 0.375 0.375
P2 P 0.625 0.625 0.625
O1 O 0.070 0.593 0.522
O2 O 0.315 0.522 0.593
O3 O 0.407 0.930 0.685
O4 O 0.478 0.685 0.930
O5 O 0.522 0.315 0.070
O6 O 0.593 0.070 0.315
O7 O 0.685 0.478 0.407
O8 O 0.930 0.407 0.478
# E_tot: -5.676 eV/atom
# mass density: 6418 kg/m³

# V5CoP6O24 (GGA+U, optimized geometry)
data_V5CoP6O24
_symmetry_space_group_name_H-M 'P 1'
_symmetry_Int_Tables_number 1
_symmetry_space_group_name_Hall 'P 1'
_cell_length_a 8.547
_cell_length_b 8.547
_cell_length_c 8.547
_cell_angle_alpha 60.58
_cell_angle_beta 60.58
_cell_angle_gamma 60.58
loop_
_atom_site_label
_atom_site_type_symbol
_atom_site_fract_x
_atom_site_fract_y
_atom_site_fract_z
V1 V 0.000 0.000 0.000
V2 V 0.144 0.144 0.144
V3 V 0.289 0.289 0.289
V4 V 0.503 0.503 0.503
V5 V 0.647 0.647 0.647
Co1 Co 0.790 0.790 0.790
P1 P 0.101 0.394 0.688
P2 P 0.187 0.895 0.602
P3 P 0.394 0.688 0.101
P4 P 0.602 0.187 0.895
P5 P 0.688 0.101 0.394
P6 P 0.895 0.602 0.187
O1 O 0.034 0.830 0.635
O2 O 0.059 0.404 0.207
O3 O 0.079 0.231 0.886
O4 O 0.142 0.965 0.760
O5 O 0.146 0.324 0.529
O6 O 0.207 0.059 0.404
O7 O 0.231 0.886 0.079
O8 O 0.260 0.451 0.654
O9 O 0.324 0.529 0.146
O10 O 0.386 0.737 0.591
O11 O 0.404 0.207 0.059
O12 O 0.451 0.654 0.260
O13 O 0.529 0.146 0.324
O14 O 0.554 0.697 0.906
O15 O 0.591 0.386 0.737
O16 O 0.635 0.034 0.830
O17 O 0.654 0.260 0.451
O18 O 0.697 0.906 0.554
O19 O 0.737 0.591 0.386
O20 O 0.760 0.142 0.965
O21 O 0.830 0.635 0.034
O22 O 0.886 0.079 0.231
O23 O 0.906 0.554 0.697
O24 O 0.965 0.760 0.142
# E_tot: -7.452 eV/atom
# mass density: 3280 kg/m³

# VCoP2O (GGA+U, optimized geometry)
data_VCoP2O
_symmetry_space_group_name_H-M 'P 1'
_symmetry_Int_Tables_number 1
_symmetry_space_group_name_Hall 'P 1'
_cell_length_a 4.515
_cell_length_b 4.515
_cell_length_c 3.425
_cell_angle_alpha 90.00
_cell_angle_beta 90.00
_cell_angle_gamma 90.00
loop_
_atom_site_label
_atom_site_type_symbol
_atom_site_fract_x
_atom_site_fract_y
_atom_site_fract_z
V1 V 0.000 0.000 0.000
Co1 Co 0.500 0.500 0.500
P1 P 0.000 0.500 0.500
P2 P 0.500 0.000 0.500
O1 O 0.500 0.500 0.000
# E_tot: -5.041 eV/atom
# mass density: 4467 kg/m³
# ΔE to the lowest computed polymorph: 0.388 eV/atom

# VCoP2O (GGA+U, optimized geometry)
data_VCoP2O
_symmetry_space_group_name_H-M 'P 1'
_symmetry_Int_Tables_number 1
_symmetry_space_group_name_Hall 'P 1'
_cell_length_a 4.736
_cell_length_b 4.736
_cell_length_c 3.581
_cell_angle_alpha 90.00
_cell_angle_beta 90.00
_cell_angle_gamma 90.00
loop_
_atom_site_label
_atom_site_type_symbol
_atom_site_fract_x
_atom_site_fract_y
_atom_site_fract_z
V1 V 0.000 0.000 0.000
Co1 Co 0.500 0.500 0.500
P1 P 0.000 0.500 0.000
P2 P 0.500 0.000 0.000
O1 O 0.000 0.000 0.500
# E_tot: -5.429 eV/atom
# mass density: 3882 kg/m³
# ΔE to the lowest computed polymorph: 0.000 eV/atom

# V3CoP6O24 (GGA+U, optimized geometry)
data_V3CoP6O24
_symmetry_space_group_name_H-M 'P 1'
_symmetry_Int_Tables_number 1
_symmetry_space_group_name_Hall 'P 1'
_cell_length_a 8.724
_cell_length_b 8.724
_cell_length_c 8.724
_cell_angle_alpha 57.96
_cell_angle_beta 57.96
_cell_angle_gamma 57.96
loop_
_atom_site_label
_atom_site_type_symbol
_atom_site_fract_x
_atom_site_fract_y
_atom_site_fract_z
V1 V 0.000 0.000 0.000
V2 V 0.218 0.218 0.218
V3 V 0.720 0.720 0.720
Co1 Co 0.502 0.502 0.502
P1 P 0.107 0.831 0.392
P2 P 0.325 0.611 0.888
P3 P 0.392 0.107 0.831
P4 P 0.611 0.888 0.325
P5 P 0.831 0.392 0.107
P6 P 0.888 0.325 0.611
O1 O 0.019 0.371 0.108
O2 O 0.046 0.872 0.234
O3 O 0.059 0.322 0.415
O4 O 0.108 0.019 0.371
O5 O 0.131 0.766 0.959
O6 O 0.234 0.046 0.872
O7 O 0.297 0.665 0.387
O8 O 0.322 0.415 0.059
O9 O 0.335 0.616 0.708
O10 O 0.371 0.108 0.019
O11 O 0.387 0.297 0.665
O12 O 0.415 0.059 0.322
O13 O 0.493 0.651 0.860
O14 O 0.587 0.943 0.780
O15 O 0.616 0.708 0.335
O16 O 0.651 0.860 0.493
O17 O 0.665 0.387 0.297
O18 O 0.708 0.335 0.616
O19 O 0.766 0.959 0.131
O20 O 0.780 0.587 0.943
O21 O 0.860 0.493 0.651
O22 O 0.872 0.234 0.046
O23 O 0.943 0.780 0.587
O24 O 0.959 0.131 0.766
# E_tot: -7.202 eV/atom
# mass density: 2900 kg/m³

# V3Co2P6WO24 (GGA+U, optimized geometry)
data_V3Co2P6WO24
_symmetry_space_group_name_H-M 'P 1'
_symmetry_Int_Tables_number 1
_symmetry_space_group_name_Hall 'P 1'
_cell_length_a 8.607
_cell_length_b 8.607
_cell_length_c 8.607
_cell_angle_alpha 60.69
_cell_angle_beta 60.69
_cell_angle_gamma 60.69
loop_
_atom_site_label
_atom_site_type_symbol
_atom_site_fract_x
_atom_site_fract_y
_atom_site_fract_z
V1 V 0.000 0.000 0.000
V2 V 0.215 0.215 0.215
V3 V 0.497 0.497 0.497
Co1 Co 0.357 0.357 0.357
Co2 Co 0.861 0.861 0.861
P1 P 0.110 0.814 0.396
P2 P 0.308 0.603 0.900
P3 P 0.396 0.110 0.814
P4 P 0.603 0.900 0.308
P5 P 0.814 0.396 0.110
P6 P 0.900 0.308 0.603
W1 W 0.713 0.713 0.713
O1 O 0.041 0.852 0.244
O2 O 0.093 0.301 0.447
O3 O 0.116 0.767 0.913
O4 O 0.164 0.972 0.367
O5 O 0.244 0.041 0.852
O6 O 0.266 0.617 0.419
O7 O 0.301 0.447 0.093
O8 O 0.354 0.540 0.742
O9 O 0.367 0.164 0.972
O10 O 0.419 0.266 0.617
O11 O 0.447 0.093 0.301
O12 O 0.467 0.675 0.856
O13 O 0.540 0.742 0.354
O14 O 0.597 0.944 0.793
O15 O 0.617 0.419 0.266
O16 O 0.675 0.856 0.467
O17 O 0.742 0.354 0.540
O18 O 0.767 0.913 0.116
O19 O 0.793 0.597 0.944
O20 O 0.852 0.244 0.041
O21 O 0.856 0.467 0.675
O22 O 0.913 0.116 0.767
O23 O 0.944 0.793 0.597
O24 O 0.972 0.367 0.164
# E_tot: -7.325 eV/atom
# mass density: 3715 kg/m³

# CoPWO2 (GGA+U, optimized geometry)
data_CoPWO2
_symmetry_space_group_name_H-M 'P 1'
_symmetry_Int_Tables_number 1
_symmetry_space_group_name_Hall 'P 1'
_cell_length_a 3.698
_cell_length_b 3.698
_cell_length_c 4.834
_cell_angle_alpha 90.00
_cell_angle_beta 90.00
_cell_angle_gamma 90.00
loop_
_atom_site_label
_atom_site_type_symbol
_atom_site_fract_x
_atom_site_fract_y
_atom_site_fract_z
Co1 Co 0.000 0.000 0.000
P1 P 0.000 0.000 0.500
W1 W 0.500 0.500 0.500
O1 O 0.000 0.500 0.000
O2 O 0.500 0.000 0.000
# E_tot: -5.424 eV/atom
# mass density: 7678 kg/m³
# ΔE to the lowest computed polymorph: 0.729 eV/atom

# CoPWO2 (GGA+U, optimized geometry)
data_CoPWO2
_symmetry_space_group_name_H-M 'P 1'
_symmetry_Int_Tables_number 1
_symmetry_space_group_name_Hall 'P 1'
_cell_length_a 3.826
_cell_length_b 3.826
_cell_length_c 5.218
_cell_angle_alpha 90.00
_cell_angle_beta 90.00
_cell_angle_gamma 90.00
loop_
_atom_site_label
_atom_site_type_symbol
_atom_site_fract_x
_atom_site_fract_y
_atom_site_fract_z
Co1 Co 0.000 0.000 0.000
P1 P 0.500 0.500 0.000
W1 W 0.500 0.500 0.500
O1 O 0.000 0.500 0.500
O2 O 0.500 0.000 0.500
# E_tot: -6.153 eV/atom
# mass density: 6646 kg/m³
# ΔE to the lowest computed polymorph: 0.000 eV/atom

# YCoPO2 (GGA+U, optimized geometry)
data_YCoPO2
_symmetry_space_group_name_H-M 'P 1'
_symmetry_Int_Tables_number 1
_symmetry_space_group_name_Hall 'P 1'
_cell_length_a 4.197
_cell_length_b 4.197
_cell_length_c 5.956
_cell_angle_alpha 90.00
_cell_angle_beta 90.00
_cell_angle_gamma 90.00
loop_
_atom_site_label
_atom_site_type_symbol
_atom_site_fract_x
_atom_site_fract_y
_atom_site_fract_z
Y1 Y 0.000 0.000 0.000
Co1 Co 0.500 0.500 0.500
P1 P 0.000 0.000 0.500
O1 O 0.000 0.500 0.000
O2 O 0.500 0.000 0.000
# E_tot: -5.826 eV/atom
# mass density: 3337 kg/m³
# ΔE to the lowest computed polymorph: 0.541 eV/atom